(1)
VASP calculation (GGA-PBEsol) on a geometry-optimized Na2BeBi structure. Values from VASP.

Output
total energy = -2.4433 eV per atom
total magnetization = 0.00 μB/atom
symmetry = I-42d
calculated volume = 34.57 A^3/atom

Quantum ESPRESSO input file:
```
&SYSTEM
  ibrav = 0, nat = 8, ntyp = 3
/
ATOMIC_SPECIES
Bi 208.98 Bi.upf
Be 9.01 Be.upf
Na 22.99 Na.upf
CELL_PARAMETERS angstrom
4.713 0.000 0.000
2.357 7.661 0.000
2.357 0.000 7.661
ATOMIC_POSITIONS angstrom
Bi 0.000 0.000 0.000
Bi 5.892 3.830 3.830
Be 2.357 0.000 0.000
Be 3.535 3.830 3.830
Na 4.124 2.506 6.336
Na 2.946 1.324 2.506
Na 4.124 5.154 1.324
Na 7.659 6.336 5.154
```

(2)
VASP calculation (GGA-PBEsol) on a geometry-optimized Be2Nb2Bi structure. Values from VASP.

Output
total energy = -6.2467 eV per atom
total magnetization = 0.00 μB/atom
symmetry = I4/mmm
calculated volume = 16.56 A^3/atom

Quantum ESPRESSO input file:
```
&SYSTEM
  ibrav = 0, nat = 5, ntyp = 3
/
ATOMIC_SPECIES
Nb 92.91 Nb.upf
Be 9.01 Be.upf
Bi 208.98 Bi.upf
CELL_PARAMETERS angstrom
3.567 0.000 0.000
0.000 3.567 0.000
-1.783 -1.783 6.508
ATOMIC_POSITIONS angstrom
Nb 0.000 0.000 5.029
Nb 1.783 1.783 1.479
Be 0.000 1.783 3.254
Be 1.783 0.000 3.254
Bi 0.000 0.000 0.000
```

(3)
VASP calculation (GGA-PBEsol) on a geometry-optimized BeBi2O structure. Values from VASP.

Output
total energy = -4.2060 eV per atom
polymorph energy (0 for the lowest one) = 239 meV per atom
total magnetization = 0.00 μB/atom
symmetry = Fm-3m
calculated volume = 17.47 A^3/atom
E_form (uncorrected) = 0.25 eV per atom

Quantum ESPRESSO input file:
```
&SYSTEM
  ibrav = 0, nat = 4, ntyp = 3
/
ATOMIC_SPECIES
Be 9.01 Be.upf
O 16.00 O.upf
Bi 208.98 Bi.upf
CELL_PARAMETERS angstrom
-0.362 4.422 -1.300
-1.619 1.049 -4.202
-4.171 1.943 -0.451
ATOMIC_POSITIONS angstrom
Be 0.000 0.000 0.000
O -3.076 3.707 -2.977
Bi -4.615 5.561 -4.465
Bi -1.538 1.854 -1.488
```

(4)
VASP calculation (GGA-PBEsol) on a geometry-optimized BeBi12O20 structure. Values from VASP.

Output
total energy = -6.0926 eV per atom
total magnetization = 0.00 μB/atom
symmetry = I23
calculated volume = 15.68 A^3/atom
E_form (uncorrected) = -1.23 eV per atom

Quantum ESPRESSO input file:
```
&SYSTEM
  ibrav = 0, nat = 33, ntyp = 3
/
ATOMIC_SPECIES
Bi 208.98 Bi.upf
O 16.00 O.upf
Be 9.01 Be.upf
CELL_PARAMETERS angstrom
-1.317 -3.862 -7.751
7.694 -2.595 3.285
-6.432 -2.240 5.509
ATOMIC_POSITIONS angstrom
Bi -2.199 -5.772 0.947
Bi -1.007 -2.510 2.418
Bi -0.411 -4.436 5.601
Bi 0.826 -6.059 -1.286
Bi 4.516 -5.327 -1.564
Bi 2.298 -2.803 0.141
Bi 1.263 -5.616 2.432
Bi 0.483 -4.389 -4.646
Bi -4.200 -5.351 -2.223
Bi -4.724 -3.492 2.563
Bi 4.171 -3.442 3.441
Bi -1.343 -2.985 -1.564
O 2.567 -5.297 -0.368
O -5.179 -1.804 4.436
O 4.442 -3.581 0.306
O -4.630 -4.981 0.831
O -0.469 -4.832 3.349
O 2.067 -5.539 -3.463
O -2.195 -5.358 -1.122
O -2.575 -0.897 2.205
O -2.488 -3.534 1.318
O -1.061 -3.110 -6.242
O 1.979 -3.466 2.119
O -0.011 -1.693 0.203
O 2.468 -4.592 4.446
O 0.441 -3.966 -2.122
O -2.148 -3.058 4.323
O 6.196 -2.090 2.646
O -2.361 -3.977 -3.355
O 3.080 -1.039 1.315
O -0.527 -1.546 -3.103
O -0.033 -5.215 0.626
Be 0.000 0.000 0.000
```

(5)
VASP calculation (GGA-PBEsol) on a geometry-optimized BeBi2O structure. Values from VASP.

Output
total energy = -4.4450 eV per atom
polymorph energy (0 for the lowest one) = 0 meV per atom
total magnetization = 0.00 μB/atom
symmetry = I-42d
calculated volume = 21.84 A^3/atom
E_form (uncorrected) = 0.01 eV per atom

Quantum ESPRESSO input file:
```
&SYSTEM
  ibrav = 0, nat = 8, ntyp = 3
/
ATOMIC_SPECIES
O 16.00 O.upf
Be 9.01 Be.upf
Bi 208.98 Bi.upf
CELL_PARAMETERS angstrom
5.314 0.000 0.000
0.000 5.314 0.000
-2.657 -2.657 6.186
ATOMIC_POSITIONS angstrom
O 0.000 0.000 0.000
O 0.000 2.657 3.093
Be 2.657 2.657 0.000
Be 2.657 0.000 3.093
Bi -1.329 -1.456 4.640
Bi 1.329 1.456 4.640
Bi 1.201 3.986 1.547
Bi 4.113 1.329 1.547
```

(6)
VASP calculation (GGA-PBEsol) on a geometry-optimized BeBiPtO2 structure. Values from VASP.

Output
total energy = -4.7299 eV per atom
total magnetization = 0.00 μB/atom
symmetry = P4/mmm
calculated volume = 17.80 A^3/atom
E_form (uncorrected) = 0.42 eV per atom

Quantum ESPRESSO input file:
```
&SYSTEM
  ibrav = 0, nat = 5, ntyp = 4
/
ATOMIC_SPECIES
Be 9.01 Be.upf
Bi 208.98 Bi.upf
O 16.00 O.upf
Pt 195.08 Pt.upf
CELL_PARAMETERS angstrom
-1.586 -3.416 1.457
-1.253 -0.999 -3.706
4.725 -2.579 -0.903
ATOMIC_POSITIONS angstrom
Be 0.943 -3.497 -1.576
Bi 0.000 0.000 0.000
O -0.627 -0.499 -1.853
O -0.793 -1.708 0.728
Pt 2.363 -1.289 -0.451
```